1.
The following is a DFT calculation (PBE) of a relaxed structure of Hf2WC.

Cell lengths 8.291, 8.291, 4.150 Å; angles 90.00, 90.00, 90.00 degrees
Space group I-42d (No. 122)
One atom of each set of equivalent atoms:
Hf  0.110  0.250  0.125
W  0.000  0.000  0.500
C  0.000  0.000  0.000

## Properties
ΔE_f in kJ/mol of atoms: 18.42
ρ in g/cm³: 12.87
E_tot in eV per cell: -165.3
Density of states at the Fermi level in states/eV/cell: 8.92

---

2.
The following is a DFT calculation (PBE) of a relaxed structure of HfW3C.

Cell lengths 4.787, 4.787, 4.787 Å; angles 90.00, 90.00, 90.00 degrees
Space group Pm-3m (No. 221)
One atom of each set of equivalent atoms:
Hf  0.000  0.000  0.000
W  0.000  0.000  0.500
C  0.500  0.500  0.500

## Properties
ΔE_f in kJ/mol of atoms: 370.04
Energy above the lowest structure with this stoichiometry in eV per atom: 3.762
ρ in g/cm³: 11.23
E_tot in eV per cell: -38.9
Density of states at the Fermi level in states/eV/cell: 2.45

---

3.
The following is a DFT calculation (PBE) of a relaxed structure of HfW2C.

Cell lengths 7.210, 7.210, 4.705 Å; angles 90.00, 90.00, 90.00 degrees
Space group I-42d (No. 122)
One atom of each set of equivalent atoms:
Hf  0.000  0.000  0.000
W  0.142  0.250  0.625
C  0.000  0.000  0.500

## Properties
ΔE_f in kJ/mol of atoms: 17.34
ρ in g/cm³: 15.16
E_tot in eV per cell: -177.5
Density of states at the Fermi level in states/eV/cell: 7.02

---

4.
The following is a DFT calculation (PBE) of a relaxed structure of HfW3C.

Cell lengths 4.245, 4.245, 4.245 Å; angles 90.00, 90.00, 90.00 degrees
Space group Pm-3m (No. 221)
One atom of each set of equivalent atoms:
Hf  0.000  0.000  0.000
W  0.000  0.500  0.500
C  0.500  0.500  0.500

## Properties
ΔE_f in kJ/mol of atoms: 7.04
Energy above the lowest structure with this stoichiometry in eV per atom: 0.000
ρ in g/cm³: 16.11
E_tot in eV per cell: -57.7
Density of states at the Fermi level in states/eV/cell: 3.80

---

5.
The following is a DFT calculation (PBE) of a relaxed structure of YHf2WC4.

Cell lengths 3.321, 11.627, 11.689 Å; angles 90.00, 90.00, 90.00 degrees
Space group Cmcm (No. 63)
One atom of each set of equivalent atoms:
Y  0.000  0.112  0.250
Hf  0.000  0.370  0.035
W  0.000  0.154  0.750
C  0.000  0.000  0.000
C  0.000  0.258  0.617
C  0.000  0.448  0.250

## Properties
ΔE_f in kJ/mol of atoms: -35.72
ρ in g/cm³: 9.97
E_tot in eV per cell: -316.7
Density of states at the Fermi level in states/eV/cell: 11.77

---

6.
The following is a DFT calculation (PBE) of a relaxed structure of Y2Hf2C.

Cell lengths 6.562, 6.562, 5.541 Å; angles 90.00, 90.00, 90.00 degrees
Space group P4/mbm (No. 127)
One atom of each set of equivalent atoms:
Y  0.175  0.325  0.000
Hf  0.148  0.648  0.500
C  0.000  0.000  0.000

## Properties
ΔE_f in kJ/mol of atoms: 67.19
Energy above the lowest structure with this stoichiometry in eV per atom: 0.000
ρ in g/cm³: 7.61
E_tot in eV per cell: -77.2
Density of states at the Fermi level in states/eV/cell: 7.23

---

7.
The following is a DFT calculation (PBE) of a relaxed structure of Y2HfC.

Cell lengths 9.276, 9.276, 4.414 Å; angles 90.00, 90.00, 90.00 degrees
Space group I-42d (No. 122)
One atom of each set of equivalent atoms:
Y  0.102  0.250  0.125
Hf  0.000  0.000  0.500
C  0.000  0.000  0.000

## Properties
ΔE_f in kJ/mol of atoms: 11.46
ρ in g/cm³: 6.44
E_tot in eV per cell: -126.5
Density of states at the Fermi level in states/eV/cell: 5.16

---

8.
The following is a DFT calculation (PBE) of a relaxed structure of YHfC.

Cell lengths 3.4270, 3.4270, 5.7592 Å; angles 90.00, 90.00, 120.00 degrees
Space group P3m1 (No. 156)
One atom of each set of equivalent atoms:
Y  0.0000  0.0000  0.0000
Hf  0.3333  0.6667  0.5447
C  0.6667  0.3333  0.7293

## Properties
ΔE_f in kJ/mol of atoms: -37.61
Energy above the lowest structure with this stoichiometry in eV per atom: 0.049
ρ in g/cm³: 7.92
E_tot in eV per cell: -26.8
Density of states at the Fermi level in states/eV/cell: 3.29

---

9.
The following is a DFT calculation (PBE) of a relaxed structure of Y3HfC.

Cell lengths 4.981, 4.981, 4.981 Å; angles 90.00, 90.00, 90.00 degrees
Space group Pm-3m (No. 221)
One atom of each set of equivalent atoms:
Y  0.000  0.000  0.500
Hf  0.500  0.500  0.500
C  0.000  0.000  0.000

## Properties
ΔE_f in kJ/mol of atoms: 12.90
Energy above the lowest structure with this stoichiometry in eV per atom: 0.000
ρ in g/cm³: 6.14
E_tot in eV per cell: -37.9
Density of states at the Fermi level in states/eV/cell: 7.85

---

10.
The following is a DFT calculation (PBE) of a relaxed structure of Y3HfC.

Cell lengths 5.496, 5.496, 5.496 Å; angles 90.00, 90.00, 90.00 degrees
Space group Pm-3m (No. 221)
One atom of each set of equivalent atoms:
Y  0.000  0.000  0.500
Hf  0.000  0.000  0.000
C  0.500  0.500  0.500

## Properties
ΔE_f in kJ/mol of atoms: 190.46
Energy above the lowest structure with this stoichiometry in eV per atom: 1.840
ρ in g/cm³: 4.57
E_tot in eV per cell: -28.7
Density of states at the Fermi level in states/eV/cell: 4.19

---

11.
The following is a DFT calculation (PBE) of a relaxed structure of Y2Hf2C.

Cell lengths 3.623, 3.623, 18.248 Å; angles 90.00, 90.00, 90.00 degrees
Space group I4/mmm (No. 139)
One atom of each set of equivalent atoms:
Y  0.000  0.000  0.077
Hf  0.000  0.500  0.250
C  0.000  0.000  0.500

## Properties
ΔE_f in kJ/mol of atoms: 97.19
Energy above the lowest structure with this stoichiometry in eV per atom: 0.311
ρ in g/cm³: 7.58
E_tot in eV per cell: -74.0
Density of states at the Fermi level in states/eV/cell: 6.37

---

12.
The following is a DFT calculation (PBE) of a relaxed structure of Y2Hf4C.

Cell lengths 4.520, 4.520, 16.728 Å; angles 90.00, 90.00, 90.00 degrees
Space group I4/mmm (No. 139)
One atom of each set of equivalent atoms:
Y  0.000  0.000  0.164
Hf  0.000  0.000  0.372
Hf  0.000  0.500  0.000
C  0.000  0.000  0.500

## Properties
ΔE_f in kJ/mol of atoms: -1.70
ρ in g/cm³: 8.78
E_tot in eV per cell: -124.2
Density of states at the Fermi level in states/eV/cell: 10.94

---

13.
The following is a DFT calculation (PBE) of a relaxed structure of YHfC.

Cell lengths 11.472, 3.452, 5.982 Å; angles 90.00, 100.62, 90.00 degrees
Space group C2/m (No. 12)
One atom of each set of equivalent atoms:
Y  0.127  0.000  0.370
Hf  0.141  0.500  0.883
C  0.242  0.000  0.772

## Properties
ΔE_f in kJ/mol of atoms: -42.37
Energy above the lowest structure with this stoichiometry in eV per atom: 0.000
ρ in g/cm³: 7.97
E_tot in eV per cell: -107.8
Density of states at the Fermi level in states/eV/cell: 8.83

---

14.
The following is a DFT calculation (PBE) of a relaxed structure of Y2HfC.

Cell lengths 3.4307, 3.4307, 27.7810 Å; angles 90.00, 90.00, 120.00 degrees
Space group R-3m (No. 166, hexagonal axes)
One atom of each set of equivalent atoms:
Y  0.0000  0.0000  0.1173
Hf  0.0000  0.0000  0.0000
C  0.0000  0.0000  0.5000

## Properties
ΔE_f in kJ/mol of atoms: 16.67
ρ in g/cm³: 6.48
E_tot in eV per cell: -94.2
Density of states at the Fermi level in states/eV/cell: 15.30

---

15.
The following is a DFT calculation (PBE) of a relaxed structure of YHfZn2C.

Cell lengths 5.179, 5.179, 4.174 Å; angles 90.00, 90.00, 90.00 degrees
Space group P4/mmm (No. 123)
One atom of each set of equivalent atoms:
Y  0.000  0.000  0.000
Hf  0.500  0.500  0.500
Zn  0.000  0.500  0.000
C  0.000  0.000  0.500

## Properties
ΔE_f in kJ/mol of atoms: 136.87
ρ in g/cm³: 6.08
E_tot in eV per cell: -21.1
Density of states at the Fermi level in states/eV/cell: 4.87

---

16.
The following is a DFT calculation (PBE) of a relaxed structure of Hf2ZnC2.

Cell lengths 4.208, 4.208, 9.273 Å; angles 90.00, 90.00, 90.00 degrees
Space group I4/mmm (No. 139)
One atom of each set of equivalent atoms:
Hf  0.000  0.000  0.185
Zn  0.000  0.000  0.500
C  0.000  0.500  0.250

## Properties
ΔE_f in kJ/mol of atoms: 9.18
Energy above the lowest structure with this stoichiometry in eV per atom: 0.000
ρ in g/cm³: 9.03
E_tot in eV per cell: -78.3
Density of states at the Fermi level in states/eV/cell: 3.64

---

17.
The following is a DFT calculation (PBE) of a relaxed structure of HfZnC.

Cell lengths 3.8719, 3.8719, 21.7228 Å; angles 90.00, 90.00, 120.00 degrees
Space group R-3m (No. 166, hexagonal axes)
One atom of each set of equivalent atoms:
Hf  0.0000  0.0000  0.1145
Zn  0.0000  0.0000  0.3097
C  0.0000  0.0000  0.2143

## Properties
ΔE_f in kJ/mol of atoms: -19.55
ρ in g/cm³: 9.04
E_tot in eV per cell: -126.4
Density of states at the Fermi level in states/eV/cell: 6.55

---

18.
The following is a DFT calculation (PBE) of a relaxed structure of Hf6ZnC.

Cell lengths 5.768, 5.802, 6.097 Å; angles 89.68, 63.71, 65.28 degrees
Space group P-1 (No. 2)
One atom of each set of equivalent atoms:
Hf  0.071  0.373  0.219
Hf  0.281  0.789  0.242
Hf  0.302  0.968  0.764
Zn  0.500  0.500  0.500
C  0.500  0.000  0.000

## Properties
ΔE_f in kJ/mol of atoms: -3.85
ρ in g/cm³: 11.76
E_tot in eV per cell: -70.5
Density of states at the Fermi level in states/eV/cell: 6.69

---

19.
The following is a DFT calculation (PBE) of a relaxed structure of Hf2ZnC.

Cell lengths 3.267, 17.216, 4.523 Å; angles 90.00, 90.00, 90.00 degrees
Space group Cmcm (No. 63)
One atom of each set of equivalent atoms:
Hf  0.000  0.108  0.250
Hf  0.000  0.290  0.250
Zn  0.000  0.459  0.250
C  0.000  0.303  0.750

## Properties
ΔE_f in kJ/mol of atoms: -59.98
ρ in g/cm³: 11.34
E_tot in eV per cell: -131.6
Density of states at the Fermi level in states/eV/cell: 5.69

---

20.
The following is a DFT calculation (PBE) of a relaxed structure of Hf7Zn2C2.

Cell lengths 3.190, 14.151, 8.702 Å; angles 90.00, 90.00, 90.00 degrees
Space group Imm2 (No. 44)
One atom of each set of equivalent atoms:
Hf  0.000  0.000  0.000
Hf  0.000  0.138  0.418
Hf  0.000  0.315  0.616
Hf  0.000  0.344  0.277
Zn  0.000  0.000  0.664
Zn  0.000  0.500  0.762
C  0.000  0.252  0.880

## Properties
ΔE_f in kJ/mol of atoms: -17.40
ρ in g/cm³: 11.87
E_tot in eV per cell: -185.3
Density of states at the Fermi level in states/eV/cell: 17.15

---

21.
The following is a DFT calculation (PBE) of a relaxed structure of Hf6ZnC3.

Cell lengths 10.167, 3.352, 10.562 Å; angles 90.00, 116.52, 90.00 degrees
Space group P2_1/m (No. 11)
One atom of each set of equivalent atoms:
Hf  0.042  0.250  0.387
Hf  0.099  0.750  0.934
Hf  0.231  0.750  0.269
Hf  0.250  0.250  0.794
Hf  0.430  0.250  0.572
Hf  0.443  0.250  0.117
Zn  0.230  0.750  0.586
C  0.019  0.250  0.773
C  0.343  0.750  0.956
C  0.404  0.250  0.342

## Properties
ΔE_f in kJ/mol of atoms: -51.84
ρ in g/cm³: 12.09
E_tot in eV per cell: -188.1
Density of states at the Fermi level in states/eV/cell: 8.75

---

22.
The following is a DFT calculation (PBE) of a relaxed structure of Hf6Zn2C.

Cell lengths 5.801, 6.279, 10.847 Å; angles 90.00, 120.68, 90.00 degrees
Space group P2_1/c (No. 14)
One atom of each set of equivalent atoms:
Hf  0.131  0.011  0.240
Hf  0.204  0.682  0.033
Hf  0.358  0.193  0.032
Zn  0.340  0.092  0.755
C  0.000  0.000  0.000

## Properties
ΔE_f in kJ/mol of atoms: -20.96
ρ in g/cm³: 11.86
E_tot in eV per cell: -146.9
Density of states at the Fermi level in states/eV/cell: 18.31

---

23.
The following is a DFT calculation (PBE) of a relaxed structure of Hf2ZnC.

Cell lengths 3.2712, 3.2712, 21.1134 Å; angles 90.00, 90.00, 120.00 degrees
Space group R-3m (No. 166, hexagonal axes)
One atom of each set of equivalent atoms:
Hf  0.0000  0.0000  0.2264
Zn  0.0000  0.0000  0.0000
C  0.0000  0.0000  0.5000

## Properties
ΔE_f in kJ/mol of atoms: -56.83
ρ in g/cm³: 11.06
E_tot in eV per cell: -98.3
Density of states at the Fermi level in states/eV/cell: 4.67

---

24.
The following is a DFT calculation (PBE) of a relaxed structure of HfZnC2.

Cell lengths 4.445, 4.445, 11.409 Å; angles 90.00, 90.00, 90.00 degrees
Space group I-42d (No. 122)
One atom of each set of equivalent atoms:
Hf  0.000  0.000  0.000
Zn  0.000  0.000  0.500
C  0.228  0.250  0.625

## Properties
ΔE_f in kJ/mol of atoms: 76.67
ρ in g/cm³: 7.90
E_tot in eV per cell: -106.0
Density of states at the Fermi level in states/eV/cell: 10.94

---

25.
The following is a DFT calculation (PBE) of a relaxed structure of HfZn2C2.

Cell lengths 6.579, 6.579, 2.793 Å; angles 90.00, 90.00, 90.00 degrees
Space group P4/mbm (No. 127)
One atom of each set of equivalent atoms:
Hf  0.000  0.000  0.000
Zn  0.123  0.377  0.000
C  0.192  0.692  0.500

## Properties
ΔE_f in kJ/mol of atoms: 122.26
Energy above the lowest structure with this stoichiometry in eV per atom: 0.345
ρ in g/cm³: 9.16
E_tot in eV per cell: -49.2
Density of states at the Fermi level in states/eV/cell: 2.74